1.
First-principles (PBE) data for a geometry-optimized CsPdRhI6 structure, as listed in Alexandria via LeMat-Bulk.

Unit cell a=7.068 b=7.732 c=8.671 alpha=95.15 beta=92.95 gamma=56.89
Sites, in units of the cell vectors:
I: 0.991 0.629 0.683
Pd: 0.658 0.671 0.500
I: 0.989 0.380 0.317
I: 0.624 0.332 0.714
I: 0.346 0.624 0.356
I: 0.621 0.045 0.285
Cs: 0.090 0.956 0.000
I: 0.347 0.029 0.644
Rh: 0.333 0.333 0.500

Calculated values
As for the crystal system: triclinic. Its space group is No. 1. The value obtained for the formation energy from raw total energies is -0.451 eV/atom. The value obtained for the total energy is -2.97 eV per atom.



2.
First-principles (PBE) data for a geometry-optimized Tc2AgHg structure, as listed in Alexandria via LeMat-Bulk.

Unit cell a=5.330 b=5.330 c=5.330 alpha=138.02 beta=138.02 gamma=60.88
Sites, in units of the cell vectors:
Hg: 0.750 0.250 0.500
Tc: 0.000 0.000 0.000
Ag: 0.250 0.750 0.500
Tc: 0.500 0.500 0.000

Calculated values
As for the crystal system: tetragonal. Its space group is No. 139. For the formation energy, the calculation gives 0.678 eV/atom. The value obtained for the total energy is -5.29 eV per atom.



3.
First-principles (PBE) data for a geometry-optimized CsK3Cd2 structure, as listed in Alexandria via LeMat-Bulk.

Unit cell a=5.035 b=10.963 c=13.203 alpha=75.66 beta=79.01 gamma=76.72
Sites, in units of the cell vectors:
Cd: 0.768 0.427 0.037
K: 0.841 0.075 0.242
K: 0.418 0.218 0.945
K: 0.582 0.782 0.055
Cd: 0.232 0.072 0.464
K: 0.159 0.925 0.758
Cs: 0.149 0.431 0.272
Cd: 0.768 0.928 0.536
Cd: 0.232 0.573 0.963
Cs: 0.851 0.569 0.728
K: 0.418 0.741 0.424
K: 0.582 0.259 0.576

Calculated values
As for the crystal system: monoclinic. Its space group is No. 12. For the formation energy, the calculation gives -0.046 eV/atom. The value obtained for the total energy is -1.04 eV per atom.



4.
First-principles (PBE) data for a geometry-optimized Tb2ScP3Rh12 structure, as listed in Alexandria via LeMat-Bulk.

Unit cell a=6.679 b=6.679 c=6.679 alpha=83.23 beta=83.23 gamma=83.23
Sites, in units of the cell vectors:
Rh: 0.369 0.369 0.908
Sc: 0.000 0.000 0.000
Rh: 0.176 0.669 0.176
Tb: 0.373 0.373 0.373
P: 0.000 0.000 0.500
Rh: 0.092 0.631 0.631
P: 0.000 0.500 0.000
Tb: 0.627 0.627 0.627
Rh: 0.908 0.369 0.369
Rh: 0.631 0.631 0.092
Rh: 0.824 0.824 0.331
Rh: 0.824 0.331 0.824
Rh: 0.331 0.824 0.824
Rh: 0.631 0.092 0.631
Rh: 0.669 0.176 0.176
Rh: 0.369 0.908 0.369
Rh: 0.176 0.176 0.669
P: 0.500 0.000 0.000

Calculated values
As for the crystal system: trigonal. Its space group is No. 166. For the formation energy, the calculation gives -0.414 eV/atom. The value obtained for the total energy is -7.08 eV per atom.



5.
First-principles (PBE) data for a geometry-optimized NaCuCl3 structure, as listed in Alexandria via LeMat-Bulk.

Unit cell a=4.790 b=4.790 c=4.790 alpha=90.00 beta=90.00 gamma=90.00
Sites, in units of the cell vectors:
Cl: 0.500 0.000 0.000
Na: 0.500 0.500 0.500
Cu: 0.000 0.000 0.000
Cl: 0.000 0.500 0.000
Cl: 0.000 0.000 0.500

Calculated values
As for the crystal system: cubic. Its space group is No. 221. The value obtained for the formation energy from raw total energies is -0.927 eV/atom. The value obtained for the total energy is -3.12 eV per atom.



6.
First-principles (PBE) data for a geometry-optimized TbTh2NpN4 structure, as listed in Alexandria via LeMat-Bulk.

Unit cell a=3.565 b=6.159 c=6.189 alpha=109.30 beta=90.00 gamma=90.00
Sites, in units of the cell vectors:
N: 0.000 0.262 0.769
Th: 0.500 0.000 0.500
Tb: 0.000 0.000 0.000
Np: 0.500 0.500 0.000
N: 0.500 0.255 0.237
N: 0.500 0.745 0.763
Th: 0.000 0.500 0.500
N: 0.000 0.738 0.231

Calculated values
As for the crystal system: monoclinic. Its space group is No. 10. The value obtained for the formation energy from raw total energies is -1.447 eV/atom. The value obtained for the total energy is -9.66 eV per atom.